No. 1
A geometry-optimized Ba2NaGePd structure, computed with GGA-PBE.

Values from the calculation:
For the formation energy, the calculation gives -0.32 eV/atom.

abc: 6.3085 6.3085 4.8154
angles: 90.00 90.00 90.00
Positions (direct):
Ba (0.0000, 0.5000, 0.0000)
Na (0.5000, 0.5000, 0.5000)
Ba (0.5000, 0.0000, 0.0000)
Pd (0.0000, 0.0000, 0.0000)
Ge (0.0000, 0.0000, 0.5000)

No. 2
A geometry-optimized Rb3ScNb structure, computed with GGA-PBE.

Values from the calculation:
For the formation energy, the calculation gives 1.82 eV/atom.

abc: 6.9480 6.9480 6.9480
angles: 90.00 90.00 90.00
Last column: magnetic moment on the atom in μB.
Positions (direct):
Rb (0.0000, 0.0000, 0.5000)  0.03
Nb (0.5000, 0.5000, 0.5000)  3.05
Rb (0.5000, 0.0000, 0.0000)  0.03
Sc (0.0000, 0.0000, 0.0000)  1.13
Rb (0.0000, 0.5000, 0.0000)  0.04

No. 3
A geometry-optimized Ta6MoOs5 structure, computed with GGA-PBE.

Values from the calculation:
For the formation energy, the calculation gives -0.29 eV/atom.

abc: 4.4360 6.6223 7.0152
angles: 90.00 71.57 90.00
Positions (direct):
Ta (0.1667, 0.7521, 0.6665)
Os (0.3335, 0.5000, 0.3330)
Ta (0.5000, 0.7537, 0.0000)
Os (0.0000, 0.5000, 0.0000)
Ta (0.1668, 0.2479, 0.6665)
Ta (0.8333, 0.2479, 0.3335)
Mo (0.0000, 0.0000, 0.0000)
Ta (0.8332, 0.7521, 0.3335)
Ta (0.5000, 0.2463, 0.0000)
Os (0.6684, 0.0000, 0.6633)
Os (0.6665, 0.5000, 0.6670)
Os (0.3316, 0.0000, 0.3367)

No. 4
A geometry-optimized RhS2O6F2 structure, computed with GGA-PBE.

Values from the calculation:
The calculation puts the uncorrected formation energy at -1164 meV/atom.

abc: 5.0834 5.0834 7.2676
angles: 90.00 90.00 120.00
Last column: magnetic moment on the atom in μB.
Positions (direct):
O (0.3765, 0.0649, 0.1762)  0.01
O (0.9351, 0.3117, 0.1762)  0.01
F (0.3333, 0.6667, 0.5594)  0.01
Rh (0.0000, 0.0000, 0.0000)  0.82
O (0.3117, 0.3765, 0.8238)  0.01
S (0.3333, 0.6667, 0.7779)  0.01
S (0.6667, 0.3333, 0.2221)  0.01
O (0.6883, 0.6235, 0.1762)  0.01
F (0.6667, 0.3333, 0.4406)  0.01
O (0.0649, 0.6883, 0.8238)  0.01
O (0.6235, 0.9351, 0.8238)  0.01

No. 5
A geometry-optimized KScS2N structure, computed with GGA-PBE.

Values from the calculation:
The calculation puts the uncorrected formation energy at 1129 meV/atom. Its energy above the lowest structure with this stoichiometry is 1601 meV per atom.

abc: 5.3371 5.3371 4.4914
angles: 90.00 90.00 90.00
Last column: magnetic moment on the atom in μB.
Positions (direct):
S (0.0000, 0.5000, 0.0000)  0.30
N (0.0000, 0.0000, 0.5000)  1.64
K (0.0000, 0.0000, 0.0000)  0.12
S (0.5000, 0.0000, 0.0000)  0.30
Sc (0.5000, 0.5000, 0.5000)  -0.33

No. 6
A geometry-optimized NdDyErPu structure, computed with GGA-PBE.

Values from the calculation:
For the formation energy, the calculation gives 0.21 eV/atom.

abc: 5.6254 5.6254 5.6254
angles: 60.00 60.00 60.00
Last column: magnetic moment on the atom in μB.
Positions (direct):
Dy (0.7500, 0.7500, 0.7500)  0.18
Pu (0.5000, 0.5000, 0.5000)  5.54
Er (0.2500, 0.2500, 0.2500)  0.17
Nd (0.0000, 0.0000, 0.0000)  0.03

No. 7
A geometry-optimized CaCd4Hg4 structure, computed with GGA-PBE.

Values from the calculation:
For the formation energy, the calculation gives -0.11 eV/atom. Its energy above the lowest structure with this stoichiometry is 46 meV per atom.

abc: 6.7745 6.7745 10.1137
angles: 90.00 90.00 90.00
Positions (direct):
Cd (0.0000, 0.2863, 0.4352)
Hg (0.7510, 0.5000, 0.2287)
Hg (0.2490, 0.5000, 0.2287)
Cd (0.2863, 0.0000, 0.5648)
Cd (0.2137, 0.5000, 0.9352)
Hg (0.5000, 0.2490, 0.7713)
Cd (0.5000, 0.7863, 0.0648)
Hg (0.2510, 0.0000, 0.2713)
Ca (0.0000, 0.0000, 0.0000)
Hg (0.7490, 0.0000, 0.2713)
Ca (0.5000, 0.5000, 0.5000)
Cd (0.7137, 0.0000, 0.5648)
Cd (0.7863, 0.5000, 0.9352)
Hg (0.5000, 0.7510, 0.7713)
Hg (0.0000, 0.2510, 0.7287)
Cd (0.0000, 0.7137, 0.4352)
Cd (0.5000, 0.2137, 0.0648)
Hg (0.0000, 0.7490, 0.7287)

No. 8
A geometry-optimized MnGaBRuSe structure, computed with GGA-PBE.

Values from the calculation:
The calculation puts the uncorrected formation energy at 20 meV/atom. Its energy above the lowest structure with this stoichiometry is 237 meV per atom.

abc: 3.0208 4.1409 5.8017
angles: 89.93 90.11 111.42
Positions (direct):
Ga (0.2942, 0.5894, 0.5652)
Se (0.5635, 0.1254, 0.2063)
Mn (0.2760, 0.5502, 0.1063)
B (0.7113, 0.4218, 0.8518)
Ru (0.9960, 0.9916, 0.8183)

No. 9
A geometry-optimized CoPtW structure, computed with GGA-PBE.

Values from the calculation:
For the formation energy, the calculation gives 0.41 eV/atom. Its energy above the lowest structure with this stoichiometry is 568 meV per atom.

abc: 4.1442 4.1442 4.1442
angles: 60.00 60.00 60.00
Last column: magnetic moment on the atom in μB.
Positions (direct):
Co (0.0000, 0.0000, 0.0000)  0.69
Pt (0.5000, 0.5000, 0.5000)  0.04
W (0.7500, 0.7500, 0.7500)  0.01

No. 10
A geometry-optimized CoSi2Au2 structure, computed with GGA-PBE.

Values from the calculation:
The calculation puts the uncorrected formation energy at 469 meV/atom. Its energy above the lowest structure with this stoichiometry is 407 meV per atom.

abc: 4.3281 4.3281 5.6102
angles: 67.31 67.31 90.00
Last column: magnetic moment on the atom in μB.
Positions (direct):
Si (0.6178, 0.6178, 0.7644)  0.00
Si (0.3822, 0.3822, 0.2356)  0.00
Au (0.2500, 0.7500, 0.5000)  0.00
Co (0.0000, 0.0000, 0.0000)  1.88
Au (0.7500, 0.2500, 0.5000)  0.00

No. 11
A geometry-optimized Bi2B2Pt structure, computed with GGA-PBE.

Values from the calculation:
For the formation energy, the calculation gives 0.51 eV/atom. Its energy above the lowest structure with this stoichiometry is 0 meV per atom.

abc: 5.5834 5.5834 4.9507
angles: 55.67 55.67 90.00
Positions (direct):
Pt (0.0000, 0.0000, 0.0000)
Bi (0.7500, 0.2500, 0.5000)
B (0.6342, 0.6342, 0.7316)
Bi (0.2500, 0.7500, 0.5000)
B (0.3658, 0.3658, 0.2684)

No. 12
A geometry-optimized Mn2NiAu structure, computed with GGA-PBE.

Values from the calculation:
For the formation energy, the calculation gives 0.14 eV/atom. Its energy above the lowest structure with this stoichiometry is 136 meV per atom.

abc: 4.3233 4.3233 4.3233
angles: 60.00 60.00 60.00
Last column: magnetic moment on the atom in μB.
Positions (direct):
Mn (0.0000, 0.0000, 0.0000)  3.55
Mn (0.7500, 0.7500, 0.7500)  3.58
Au (0.5000, 0.5000, 0.5000)  0.06
Ni (0.2500, 0.2500, 0.2500)  0.45